First-principles (SCAN) data for a PBEsol-optimized structure of SrCaTi2Ir, as listed in Alexandria.

Lattice parameters (Å, degrees): 4.7919 4.7919 5.0926 90.00 90.00 90.00
Element x y z (fractional)
Sr: 0.0000 0.0000 0.0000
Ca: 0.5000 0.5000 0.5000
Ti: 0.0000 0.5000 0.0000
Ti: 0.5000 0.0000 0.0000
Ir: 0.0000 0.0000 0.5000

SG = P4/mmm
E_form = 1.5964 eV per atom

First-principles (SCAN) data for a PBEsol-optimized structure of Al3Fe3Si2, as listed in Alexandria.

Lattice parameters (Å, degrees): 4.6564 6.1391 7.3286 102.61 101.12 98.84
Element x y z (fractional)
Al: 0.0397 0.3879 0.3343
Al: 0.2160 0.9409 0.4392
Al: 0.2905 0.0408 0.1170
Al: 0.7095 0.9592 0.8830
Al: 0.7840 0.0591 0.5608
Al: 0.9603 0.6121 0.6657
Fe: 0.2066 0.0097 0.7753
Fe: 0.3617 0.6626 0.9523
Fe: 0.4388 0.6722 0.5807
Fe: 0.5612 0.3278 0.4193
Fe: 0.6383 0.3374 0.0477
Fe: 0.7934 0.9903 0.2247
Si: 0.0819 0.3260 0.9362
Si: 0.4477 0.3517 0.7239
Si: 0.5523 0.6483 0.2761
Si: 0.9181 0.6740 0.0638

formation energy (no corrections) = -0.29 eV per atom
SG = P-1

First-principles (SCAN) data for a PBEsol-optimized structure of La2TlAs, as listed in Alexandria.

Lattice parameters (Å, degrees): 8.4486 8.4486 8.4486 28.81 28.81 28.81
Element x y z (fractional)
La: 0.2386 0.2386 0.2386
La: 0.7614 0.7614 0.7614
Tl: 0.0000 0.0000 0.0000
As: 0.5000 0.5000 0.5000

SG = R-3m
E above lowest polymorph = 0 meV per atom
E_form = -1.1298 eV per atom

First-principles (SCAN) data for a PBEsol-optimized structure of Na6B4Sb2PO16, as listed in Alexandria.

Lattice parameters (Å, degrees): 9.9751 9.9751 9.9751 60.00 60.00 60.00
Element x y z (fractional)
Na: 0.0777 0.0777 0.6723
Na: 0.0777 0.6723 0.0777
Na: 0.0777 0.6723 0.6723
Na: 0.3277 0.3277 0.9223
Na: 0.3277 0.9223 0.3277
Na: 0.3277 0.9223 0.9223
Na: 0.6723 0.0777 0.0777
Na: 0.6723 0.0777 0.6723
Na: 0.6723 0.6723 0.0777
Na: 0.9223 0.3277 0.3277
Na: 0.9223 0.3277 0.9223
Na: 0.9223 0.9223 0.3277
B: 0.2851 0.2851 0.2851
B: 0.2851 0.2851 0.6448
B: 0.2851 0.6448 0.2851
B: 0.3552 0.7149 0.7149
B: 0.6448 0.2851 0.2851
B: 0.7149 0.3552 0.7149
B: 0.7149 0.7149 0.3552
B: 0.7149 0.7149 0.7149
Sb: 0.0000 0.5000 0.5000
Sb: 0.5000 0.0000 0.5000
Sb: 0.5000 0.5000 0.0000
Sb: 0.5000 0.5000 0.5000
P: 0.1250 0.1250 0.1250
P: 0.8750 0.8750 0.8750
O: 0.0613 0.0613 0.0613
O: 0.0613 0.0613 0.3162
O: 0.0613 0.3162 0.0613
O: 0.1348 0.3085 0.6475
O: 0.1348 0.4093 0.3085
O: 0.1348 0.6475 0.4093
O: 0.3085 0.1348 0.4093
O: 0.3085 0.4093 0.6475
O: 0.3085 0.6475 0.1348
O: 0.3162 0.0613 0.0613
O: 0.3525 0.5907 0.8652
O: 0.3525 0.6915 0.5907
O: 0.3525 0.8652 0.6915
O: 0.4093 0.1348 0.6475
O: 0.4093 0.3085 0.1348
O: 0.4093 0.6475 0.3085
O: 0.5907 0.3525 0.6915
O: 0.5907 0.6915 0.8652
O: 0.5907 0.8652 0.3525
O: 0.6475 0.1348 0.3085
O: 0.6475 0.3085 0.4093
O: 0.6475 0.4093 0.1348
O: 0.6838 0.9387 0.9387
O: 0.6915 0.3525 0.8652
O: 0.6915 0.5907 0.3525
O: 0.6915 0.8652 0.5907
O: 0.8652 0.3525 0.5907
O: 0.8652 0.5907 0.6915
O: 0.8652 0.6915 0.3525
O: 0.9387 0.6838 0.9387
O: 0.9387 0.9387 0.6838
O: 0.9387 0.9387 0.9387

formation energy (no corrections) = -2.19 eV per atom
SG = Fd-3

First-principles (SCAN) data for a PBEsol-optimized structure of Sm2P3Pt6, as listed in Alexandria.

Lattice parameters (Å, degrees): 22.8853 22.8853 22.8853 169.80 169.80 14.45
Element x y z (fractional)
Sm: 0.0755 0.3255 0.7500
Sm: 0.3255 0.0755 0.2500
Sm: 0.6745 0.9245 0.7500
Sm: 0.9245 0.6745 0.2500
P: 0.2001 0.4501 0.7500
P: 0.3750 0.6250 0.7500
P: 0.4501 0.2001 0.2500
P: 0.5499 0.7999 0.7500
P: 0.6250 0.3750 0.2500
P: 0.7999 0.5499 0.2500
Pt: 0.0243 0.7743 0.2500
Pt: 0.1490 0.3990 0.7500
Pt: 0.2257 0.9757 0.2500
Pt: 0.2726 0.5226 0.7500
Pt: 0.3990 0.1490 0.2500
Pt: 0.4774 0.7274 0.7500
Pt: 0.5226 0.2726 0.2500
Pt: 0.6010 0.8510 0.7500
Pt: 0.7274 0.4774 0.2500
Pt: 0.7743 0.0243 0.7500
Pt: 0.8510 0.6010 0.2500
Pt: 0.9757 0.2257 0.7500

SG = I4_1/amd
E_form = -1.1366 eV per atom

First-principles (SCAN) data for a PBEsol-optimized structure of ZrTaNi2, as listed in Alexandria.

Lattice parameters (Å, degrees): 3.1481 3.9714 5.0784 90.00 108.24 90.00
Element x y z (fractional)
Zr: 0.0000 0.0000 0.0000
Ta: 0.2861 0.5000 0.5702
Ni: 0.5687 0.5000 0.1367
Ni: 0.7292 0.0000 0.4560

SG = Pm
E_form = -0.3287 eV per atom

First-principles (SCAN) data for a PBEsol-optimized structure of MgCo2Pt, as listed in Alexandria.

Lattice parameters (Å, degrees): 4.5751 4.5751 4.5183 102.90 102.90 34.53
Element x y z (fractional)
Mg: 0.0000 0.0000 0.0000
Co: 0.4892 0.4892 0.4795
Co: 0.7624 0.7624 0.2805
Pt: 0.2384 0.2384 0.7490

SG = Cm
E_form = -0.1734 eV per atom

First-principles (SCAN) data for a PBEsol-optimized structure of Na2PtSe, as listed in Alexandria.

Lattice parameters (Å, degrees): 6.2086 6.2086 6.2086 99.29 99.29 132.62
Element x y z (fractional)
Na: 0.1179 0.1250 0.4929
Na: 0.3750 0.8821 0.0071
Na: 0.6321 0.6250 0.5071
Na: 0.8750 0.3679 0.9929
Pt: 0.2500 0.7500 0.5000
Pt: 0.5000 0.5000 0.0000
Se: 0.0000 0.0000 0.0000
Se: 0.7500 0.2500 0.5000

formation energy (no corrections) = -0.38 eV per atom
SG = I-42d

First-principles (SCAN) data for a PBEsol-optimized structure of Cd2SiBiOs, as listed in Alexandria.

Lattice parameters (Å, degrees): 4.7441 4.7441 5.4137 90.00 90.00 90.00
Element x y z (fractional)
Cd: 0.0000 0.5000 0.0000
Cd: 0.5000 0.0000 0.0000
Si: 0.0000 0.0000 0.0000
Bi: 0.0000 0.0000 0.5000
Os: 0.5000 0.5000 0.5000

formation energy (no corrections) = 1.53 eV per atom
SG = P4/mmm

First-principles (SCAN) data for a PBEsol-optimized structure of AlCuTc2, as listed in Alexandria.

Lattice parameters (Å, degrees): 2.7279 4.2459 4.6460 90.00 90.00 90.00
Element x y z (fractional)
Al: 0.0000 0.0000 0.0000
Cu: 0.0000 0.5000 0.7149
Tc: 0.5000 0.0000 0.5017
Tc: 0.5000 0.5000 0.2231

SG = Pmm2
E_form = -0.1331 eV per atom

First-principles (SCAN) data for a PBEsol-optimized structure of Pt2SeCl, as listed in Alexandria.

Lattice parameters (Å, degrees): 5.7874 5.7874 5.7874 111.33 111.33 105.82
Element x y z (fractional)
Pt: 0.1106 0.1250 0.4856
Pt: 0.3750 0.8894 0.0144
Pt: 0.6394 0.6250 0.5144
Pt: 0.8750 0.3606 0.9856
Se: 0.0000 0.0000 0.0000
Se: 0.7500 0.2500 0.5000
Cl: 0.2500 0.7500 0.5000
Cl: 0.5000 0.5000 0.0000

formation energy (no corrections) = 0.22 eV per atom
SG = I-42d
E above lowest polymorph = 583 meV per atom

First-principles (SCAN) data for a PBEsol-optimized structure of NdAl2Ge2, as listed in Alexandria.

Lattice parameters (Å, degrees): 4.2559 4.2559 6.7671 90.00 90.00 120.00
Element x y z (fractional)
Nd: 0.0000 0.0000 0.0000
Al: 0.3333 0.6667 0.6426
Al: 0.6667 0.3333 0.3574
Ge: 0.3333 0.6667 0.2650
Ge: 0.6667 0.3333 0.7350

SG = P-3m1
E_form = -0.5038 eV per atom

Number 1: final energy -25.423 eV per atom. Number 2: final energy -12.502 eV per atom. Number 3: final energy -45.820 eV per atom. Number 4: final energy -10.456 eV per atom. Number 5: final energy -50.340 eV per atom. Number 6: final energy -32.736 eV per atom. Number 7: final energy -27.617 eV per atom. Number 8: final energy -25.054 eV per atom. Number 9: final energy -42.734 eV per atom. Number 10: final energy -23.401 eV per atom. Number 11: final energy -41.892 eV per atom. Number 12: final energy -19.956 eV per atom.